LaAgW2 | PBE-GGA | optimized geometry

Summary:
Energy relative to the elements in eV per formula unit: 2.95
Fermi-level density of states in states/eV/cell: 14.984
Spin magnetization in μB/f.u.: 0.00
ΔE to the lowest computed polymorph in meV/atom: 345

a = 6.8302 Å, b = 6.8302 Å, c = 6.8302 Å
α = 90.00°, β = 90.00°, γ = 90.00°
Last column: nearest neighbours and their distance in Å.
Element x y z (fractional)
1 La 0.0000 0.0000 0.0000  4 W 2.96, 4 Ag 2.96
2 La 0.0000 0.5000 0.5000  4 W 2.96, 4 Ag 2.96
3 La 0.5000 0.0000 0.5000  4 W 2.96, 4 Ag 2.96
4 La 0.5000 0.5000 0.0000  4 W 2.96, 4 Ag 2.96
5 Ag 0.2500 0.2500 0.2500  4 W 2.96, 4 La 2.96
6 Ag 0.2500 0.7500 0.7500  4 La 2.96, 4 W 2.96
7 Ag 0.7500 0.2500 0.7500  4 La 2.96, 4 W 2.96
8 Ag 0.7500 0.7500 0.2500  4 La 2.96, 4 W 2.96
9 W 0.0000 0.0000 0.5000  4 W 2.96, 4 Ag 2.96
10 W 0.0000 0.5000 0.0000  4 W 2.96, 4 Ag 2.96
11 W 0.2500 0.2500 0.7500  4 La 2.96, 4 W 2.96
12 W 0.2500 0.7500 0.2500  4 La 2.96, 4 W 2.96
13 W 0.5000 0.0000 0.0000  4 W 2.96, 4 Ag 2.96
14 W 0.5000 0.5000 0.5000  4 W 2.96, 4 Ag 2.96
15 W 0.7500 0.2500 0.2500  4 La 2.96, 4 W 2.96
16 W 0.7500 0.7500 0.7500  4 La 2.96, 4 W 2.96